# Ca3Cr3GaO8

A relaxed structure of Ca3Cr3GaO8 (PBE+U, Alexandria via LeMat-Bulk).

Cell: 6.5027 6.5027 6.3888 Å, 118.94 118.94 56.42°
Last column: nearest neighbours and their distance in Å.
Atoms (fractional coordinates):
Ca1 0.0000 0.0000 0.0000  6 O 2.31-2.35
Ca2 0.0000 0.5000 0.0000  6 O 2.34-2.40
Ca3 0.5000 0.0000 0.0000  6 O 2.34-2.40
Cr1 0.0000 0.5000 0.5000  4 O 2.10
Cr2 0.5000 0.0000 0.5000  4 O 2.10
Cr3 0.5000 0.5000 0.5000  4 O 2.10
Ga1 0.0000 0.0000 0.5000  6 O 2.01-2.16
O1 0.2250 0.2250 0.6971  2 Cr 2.10, 1 Ga 2.16
O2 0.2385 0.7589 0.2846  1 Ga 2.01, 1 Cr 2.10
O3 0.2404 0.2404 0.2672  2 Cr 2.10, 3 Ca 2.31-2.34
O4 0.2411 0.7615 0.7154  1 Ga 2.01, 1 Cr 2.10
O5 0.7589 0.2385 0.2846  1 Ga 2.01, 1 Cr 2.10
O6 0.7596 0.7596 0.7328  2 Cr 2.10, 3 Ca 2.31-2.34
O7 0.7615 0.2411 0.7154  1 Ga 2.01, 1 Cr 2.10
O8 0.7750 0.7750 0.3029  2 Cr 2.10, 1 Ga 2.16

Summary:
**D(E_F)**: 5.70 states/eV/f.u.
**V**: 12.54 Å³/atom
**Uncorrected energy**: -103.678 eV for the cell shown
**M_tot**: 11.0 μB per cell